1.
Compound: ZrAl3Br
Source: Alexandria via LeMat-Bulk
Functional: PBE
Structure: relaxed

Cell lengths 5.492, 5.492, 5.492 Å; angles 90.00, 90.00, 90.00 degrees
Atoms (fractional coordinates):
Zr 0.000 0.000 0.000
Al 0.000 0.000 0.500
Al 0.000 0.500 0.000
Al 0.500 0.000 0.000
Br 0.500 0.500 0.500

Results
E_form (uncorrected), eV/atom: 0.87
Energy above the lowest structure with this stoichiometry, meV per atom: 63


2.
Compound: La5Ru
Source: Alexandria via LeMat-Bulk
Functional: PBE
Structure: relaxed

Cell lengths 6.060, 6.060, 6.138 Å; angles 90.00, 90.00, 120.00 degrees
Atoms (fractional coordinates):
La 0.000 0.500 0.000
La 0.333 0.667 0.500
La 0.500 0.000 0.000
La 0.500 0.500 0.000
La 0.667 0.333 0.500
Ru 0.000 0.000 0.500

Results
Energy above the lowest structure with this stoichiometry, meV per atom: 920
Calculated formation energy, meV per atom: 828


3.
Compound: UTe4
Source: Alexandria via LeMat-Bulk
Functional: PBE
Structure: relaxed

Cell lengths 5.812, 5.812, 5.812 Å; angles 90.00, 90.00, 90.00 degrees
Atoms (fractional coordinates):
U 0.000 0.000 0.000
Te 0.000 0.000 0.500
Te 0.000 0.500 0.000
Te 0.500 0.000 0.000
Te 0.500 0.500 0.500

Results
E_form (uncorrected), eV/atom: 0.14


4.
Compound: Pr2ScPaP4
Source: Alexandria via LeMat-Bulk
Functional: PBE
Structure: relaxed

Cell lengths 6.920, 4.042, 7.042 Å; angles 90.00, 109.39, 90.00 degrees
Atoms (fractional coordinates):
Pr 0.000 0.000 0.000
Pr 0.500 0.500 0.000
Sc 0.000 0.500 0.500
Pa 0.500 0.000 0.500
P 0.239 0.000 0.724
P 0.253 0.500 0.272
P 0.747 0.500 0.728
P 0.761 0.000 0.276

Results
Calculated formation energy, meV per atom: -1447


no.,Fermi-level density of states (states/eV/f.u.)
1,5.1
2,12.4
3,8.1
4,4.4